The following is a DFT calculation (GGA-PBE) of a geometry-optimized Ba2LiHRh structure.

Computed properties:
VASP energy in eV per cell: -17.1
ΔE to the lowest computed polymorph in eV/f.u.: 0.000
Crystal system: tetragonal

Geometry as CIF:
```
data_Ba2LiHRh
_chemical_formula_sum 'Ba2 Li1 H1 Rh1'
_cell_length_a 5.7473
_cell_length_b 5.7473
_cell_length_c 3.8038
_cell_angle_alpha 90.00
_cell_angle_beta 90.00
_cell_angle_gamma 90.00
_symmetry_space_group_name_H-M 'P 4/m m m'
_symmetry_Int_Tables_number 123
_symmetry_space_group_name_Hall '-P 4 2'
loop_
_atom_site_label
_atom_site_type_symbol
_atom_site_fract_x
_atom_site_fract_y
_atom_site_fract_z
Ba1 Ba 0.0000 0.5000 0.0000
Li1 Li 0.0000 0.0000 0.5000
H1 H 0.5000 0.5000 0.0000
Rh1 Rh 0.5000 0.5000 0.5000
```

The following is a DFT calculation (GGA-PBE) of a geometry-optimized Ba2LiH6Ru structure.

Computed properties:
VASP energy in eV per cell: -39.8
Crystal system: trigonal

Geometry as CIF:
```
data_Ba2LiH6Ru
_chemical_formula_sum 'Ba2 Li1 H6 Ru1'
_cell_length_a 5.6863
_cell_length_b 5.6863
_cell_length_c 4.9173
_cell_angle_alpha 90.00
_cell_angle_beta 90.00
_cell_angle_gamma 120.00
_symmetry_space_group_name_H-M 'P -3 m 1'
_symmetry_Int_Tables_number 164
_symmetry_space_group_name_Hall '-P 3 2"'
loop_
_atom_site_label
_atom_site_type_symbol
_atom_site_fract_x
_atom_site_fract_y
_atom_site_fract_z
Ba1 Ba 0.3333 0.6667 0.2694
Li1 Li 0.0000 0.0000 0.0000
H1 H 0.1465 0.2930 0.7095
Ru1 Ru 0.0000 0.0000 0.5000
```

The following is a DFT calculation (GGA-PBE) of a geometry-optimized BaLi2SbH structure.

Computed properties:
VASP energy in eV per cell: -67.0
Crystal system: orthorhombic

Geometry as CIF:
```
data_BaLi2SbH
_chemical_formula_sum 'Ba4 Li8 Sb4 H4'
_cell_length_a 4.7247
_cell_length_b 12.2129
_cell_length_c 7.5350
_cell_angle_alpha 90.00
_cell_angle_beta 90.00
_cell_angle_gamma 90.00
_symmetry_space_group_name_H-M 'C m c m'
_symmetry_Int_Tables_number 63
_symmetry_space_group_name_Hall '-C 2c 2'
loop_
_atom_site_label
_atom_site_type_symbol
_atom_site_fract_x
_atom_site_fract_y
_atom_site_fract_z
Ba1 Ba 0.0000 0.0749 0.2500
Li1 Li 0.0000 0.3457 0.0617
Sb1 Sb 0.0000 0.2071 0.7500
H1 H 0.0000 0.5000 0.0000
```

The following is a DFT calculation (GGA-PBE) of a geometry-optimized Ba2SrLiH structure.

Computed properties:
VASP energy in eV per cell: -11.2
ΔE to the lowest computed polymorph in eV/f.u.: 0.000
Crystal system: tetragonal

Geometry as CIF:
```
data_Ba2SrLiH
_chemical_formula_sum 'Ba2 Sr1 Li1 H1'
_cell_length_a 5.9055
_cell_length_b 5.9055
_cell_length_c 5.5349
_cell_angle_alpha 90.00
_cell_angle_beta 90.00
_cell_angle_gamma 90.00
_symmetry_space_group_name_H-M 'P 4/m m m'
_symmetry_Int_Tables_number 123
_symmetry_space_group_name_Hall '-P 4 2'
loop_
_atom_site_label
_atom_site_type_symbol
_atom_site_fract_x
_atom_site_fract_y
_atom_site_fract_z
Ba1 Ba 0.0000 0.5000 0.0000
Sr1 Sr 0.0000 0.0000 0.5000
Li1 Li 0.5000 0.5000 0.5000
H1 H 0.0000 0.0000 0.0000
```

Question: Which of these has the highest VASP energy?
Answer: Ba2SrLiH

Copy entry 3 word for word.
The following is a DFT calculation (GGA-PBE) of a geometry-optimized BaLi2SbH structure.

Computed properties:
VASP energy in eV per cell: -67.0
Crystal system: orthorhombic

Geometry as CIF:
```
data_BaLi2SbH
_chemical_formula_sum 'Ba4 Li8 Sb4 H4'
_cell_length_a 4.7247
_cell_length_b 12.2129
_cell_length_c 7.5350
_cell_angle_alpha 90.00
_cell_angle_beta 90.00
_cell_angle_gamma 90.00
_symmetry_space_group_name_H-M 'C m c m'
_symmetry_Int_Tables_number 63
_symmetry_space_group_name_Hall '-C 2c 2'
loop_
_atom_site_label
_atom_site_type_symbol
_atom_site_fract_x
_atom_site_fract_y
_atom_site_fract_z
Ba1 Ba 0.0000 0.0749 0.2500
Li1 Li 0.0000 0.3457 0.0617
Sb1 Sb 0.0000 0.2071 0.7500
H1 H 0.0000 0.5000 0.0000
```

Question: VASP energy of number 4 (Ba2SrLiH)?
Answer: -11.2 eV per cell

Question: Look up the VASP energy of the fourth one.
Answer: -11.2 eV per cell